VASP calculation (GGA+U) on a relaxed structure of PuPaNi2O8.

abc: 4.6827 4.6827 6.9555
angles: 90.00 90.00 90.10
Element x y z (fractional)
Pu 0.0000 0.0000 0.0000
Pa 0.0000 0.0000 0.5000
Ni 0.5000 0.5000 0.2566
Ni 0.5000 0.5000 0.7434
O 0.1952 0.1952 0.2322
O 0.1952 0.1952 0.7678
O 0.2912 0.7088 0.0000
O 0.3080 0.6920 0.5000
O 0.6920 0.3080 0.5000
O 0.7088 0.2912 0.0000
O 0.8048 0.8048 0.2322
O 0.8048 0.8048 0.7678

total energy	-7.920	eV/atom
M_tot	3.0	Bohr magnetons per cell